Below is a relaxed structure of LiZn3Pt2, with properties calculated at the PBE level.

Cell: 4.319 4.319 10.666 Å, 90.00 90.00 120.00°
Fractional coordinates of all 12 atoms:
Li 0.333 0.667 0.168
Li 0.667 0.333 0.832
Zn 0.000 0.000 0.249
Zn 0.000 0.000 0.751
Zn 0.333 0.667 0.417
Zn 0.333 0.667 0.916
Zn 0.667 0.333 0.084
Zn 0.667 0.333 0.583
Pt 0.000 0.000 0.000
Pt 0.000 0.000 0.500
Pt 0.333 0.667 0.672
Pt 0.667 0.333 0.328

Computed properties:
Magnetization, μB per formula unit: 0.00
ΔH_f (0 K), eV per atom: -0.553
V, Å³ per cell: 172.3
Fermi-level density of states, states/eV/atom: 0.282